Entry 1:
Below is a relaxed structure of La6Au2Cl, with properties calculated at the PBE level.

Cell lengths 6.9400, 7.7084, 10.7774 Å; angles 90.00, 88.99, 90.00 degrees
Closest atoms and distances in Å follow each position.
Atoms (fractional coordinates):
1 La 0.1688 0.3338 0.5650  1 Cl 2.92, 2 Au 3.09-3.10
2 La 0.8312 0.6662 0.4350  1 Cl 2.92, 2 Au 3.09-3.10
3 La 0.1488 0.3062 0.9334  1 Cl 2.96, 2 Au 3.11-3.13
4 Cl 0.0000 0.0000 0.5000  6 La 2.92-2.96
5 Au 0.0774 0.6203 0.7590  6 La 3.09-3.14
6 La 0.6688 0.1662 0.0650  1 Cl 2.92, 2 Au 3.09-3.10
7 Au 0.9226 0.3797 0.2410  6 La 3.09-3.14
8 La 0.8370 0.9646 0.7538  1 Cl 2.95, 2 Au 3.12-3.14
9 La 0.3512 0.8062 0.5666  1 Cl 2.96, 2 Au 3.11-3.13
10 La 0.1630 0.0354 0.2462  1 Cl 2.95, 2 Au 3.12-3.14
11 Au 0.4226 0.1203 0.7410  6 La 3.09-3.14
12 La 0.3370 0.5354 0.2538  1 Cl 2.95, 2 Au 3.12-3.14
13 Cl 0.5000 0.5000 0.0000  6 La 2.92-2.96
14 La 0.8512 0.6938 0.0666  1 Cl 2.96, 2 Au 3.11-3.13
15 La 0.3312 0.8338 0.9350  1 Cl 2.92, 2 Au 3.09-3.10
16 La 0.6630 0.4646 0.7462  1 Cl 2.95, 2 Au 3.12-3.14
17 La 0.6488 0.1938 0.4334  1 Cl 2.96, 2 Au 3.11-3.13
18 Au 0.5774 0.8797 0.2590  6 La 3.09-3.14

The mass density is 7.28 g/cm³. The value obtained for the density of states at the Fermi level is 23.762 states/eV per cell. For the formation energy (no corrections), the calculation gives -704 meV per atom.



Entry 2:
Below is a relaxed structure of LaAuCl2, with properties calculated at the PBE level.

Cell lengths 3.8276, 3.8277, 7.4946 Å; angles 90.00, 90.00, 90.03 degrees
Closest atoms and distances in Å follow each position.
Atoms (fractional coordinates):
1 Cl 0.0000 0.0000 0.9104  1 La 2.79, 4 Au 2.98-2.99
2 Cl 0.5000 0.5000 0.3084  4 La 3.21, 1 Au 3.25
3 La 0.0000 0.0000 0.5387  1 Cl 2.79, 4 Au 3.11
4 Au 0.5000 0.5000 0.7425  5 Cl 2.98-3.25, 4 La 3.11

The mass density is 6.15 g/cm³. For the formation energy (no corrections), the calculation gives -1353 meV per atom. As for the energy relative to the lowest polymorph listed for this composition: 0.190 eV/atom.



Entry 3:
Below is a relaxed structure of La2Au2Cl, with properties calculated at the PBE level.

Cell lengths 8.1911, 8.1911, 4.1350 Å; angles 90.00, 90.00, 90.00 degrees
Closest atoms and distances in Å follow each position.
Atoms (fractional coordinates):
1 La 0.1717 0.3283 0.0000  2 Cl 3.03, 6 Au 3.12-3.22
2 Au 0.8740 0.3740 0.5000  1 Au 2.92, 6 La 3.12-3.22
3 Cl 0.5000 0.5000 0.0000  4 La 3.03
4 Au 0.6260 0.8740 0.5000  1 Au 2.92, 6 La 3.12-3.22
5 La 0.8283 0.6717 0.0000  2 Cl 3.03, 6 Au 3.12-3.22
6 La 0.3283 0.8283 0.0000  2 Cl 3.03, 6 Au 3.12-3.22
7 Au 0.3740 0.1260 0.5000  1 Au 2.92, 6 La 3.12-3.22
8 La 0.6717 0.1717 0.0000  2 Cl 3.03, 6 Au 3.12-3.22
9 Cl 0.0000 0.0000 0.0000  4 La 3.03
10 Au 0.1260 0.6260 0.5000  1 Au 2.92, 6 La 3.12-3.22

The mass density is 8.47 g/cm³. The value obtained for the density of states at the Fermi level is 8.446 states/eV per cell. For the formation energy (no corrections), the calculation gives -1117 meV per atom. As for the energy relative to the lowest polymorph listed for this composition: 0.000 eV/atom.



Entry 4:
Below is a relaxed structure of LaAuCl2, with properties calculated at the PBE level.

Cell lengths 4.2645, 7.0629, 7.0551 Å; angles 49.86, 90.00, 90.00 degrees
Closest atoms and distances in Å follow each position.
Atoms (fractional coordinates):
1 Cl 0.0000 0.1086 0.1089  2 La 2.80
2 Au 0.5000 0.7500 0.7500  2 La 2.98
3 La 0.5000 0.2500 0.2500  4 Cl 2.80, 2 Au 2.98
4 Cl 0.0000 0.3914 0.3911  2 La 2.80

The mass density is 4.16 g/cm³. For the formation energy (no corrections), the calculation gives -1461 meV per atom. As for the energy relative to the lowest polymorph listed for this composition: 0.082 eV/atom.



Entry 5:
Below is a relaxed structure of LaAuCl2, with properties calculated at the PBE level.

Cell lengths 7.2011, 7.2011, 7.2011 Å; angles 37.54, 37.54, 37.54 degrees
Closest atoms and distances in Å follow each position.
Atoms (fractional coordinates):
1 Cl 0.0348 0.0348 0.0348  3 Au 2.90
2 Au 0.7574 0.7574 0.7574  3 Cl 2.90, 3 La 2.95
3 Cl 0.2219 0.2219 0.2219  3 La 3.01
4 La 0.4859 0.4859 0.4859  3 Au 2.95, 3 Cl 3.01

The mass density is 5.43 g/cm³. The value obtained for the density of states at the Fermi level is 0.000 states/eV per cell. For the formation energy (no corrections), the calculation gives -1392 meV per atom. As for the energy relative to the lowest polymorph listed for this composition: 0.151 eV/atom.



Entry 6:
Below is a relaxed structure of La3AuCl2, with properties calculated at the PBE level.

Cell lengths 4.3584, 6.0399, 7.2949 Å; angles 114.46, 107.38, 90.00 degrees
Closest atoms and distances in Å follow each position.
Atoms (fractional coordinates):
1 La 0.1719 0.1718 0.3437  4 Cl 3.02, 2 Au 3.07
2 Cl 0.1618 0.6618 0.3236  6 La 2.98-3.02
3 Cl 0.8382 0.3382 0.6764  6 La 2.98-3.02
4 Au 0.5000 0.0000 0.0000  6 La 3.02-3.07
5 La 0.5000 0.5000 0.0000  4 Cl 2.98, 2 Au 3.02
6 La 0.8281 0.8282 0.6563  4 Cl 3.02, 2 Au 3.07

The mass density is 6.88 g/cm³. The value obtained for the density of states at the Fermi level is 3.032 states/eV per cell. For the formation energy (no corrections), the calculation gives -1347 meV per atom.



Entry 7:
Below is a relaxed structure of LaAuCl2, with properties calculated at the PBE level.

Cell lengths 5.1129, 5.1129, 5.1129 Å; angles 60.00, 60.00, 60.00 degrees
Closest atoms and distances in Å follow each position.
Atoms (fractional coordinates):
1 Cl 0.2500 0.2500 0.2500  4 Au 3.13, 4 Cl 3.13
2 Cl 0.0000 0.0000 0.0000  4 Cl 3.13, 4 La 3.13
3 Au 0.5000 0.5000 0.5000  4 La 3.13, 4 Cl 3.13
4 La 0.7500 0.7500 0.7500  4 Cl 3.13, 4 Au 3.13

The mass density is 7.15 g/cm³. The value obtained for the density of states at the Fermi level is 0.000 states/eV per cell. For the formation energy (no corrections), the calculation gives -1362 meV per atom. As for the energy relative to the lowest polymorph listed for this composition: 0.180 eV/atom.



Entry 8:
Below is a relaxed structure of LaAuCl6, with properties calculated at the PBE level.

Cell lengths 7.5032, 8.1237, 7.1140 Å; angles 61.26, 58.56, 44.80 degrees
Closest atoms and distances in Å follow each position.
Atoms (fractional coordinates):
1 La 0.5000 0.5000 0.5000  4 Cl 2.64-2.94
2 Cl 0.7664 0.0594 0.8212  1 Au 2.34
3 Cl 0.2336 0.9406 0.1788  1 Au 2.34
4 Cl 0.1120 0.4681 0.7008  1 La 2.64
5 Au 0.0000 0.0000 0.0000  4 Cl 2.34-2.35
6 Cl 0.8880 0.5319 0.2992  1 La 2.64
7 Cl 0.3980 0.7931 0.7255  1 Au 2.35
8 Cl 0.6020 0.2069 0.2745  1 Au 2.35

The mass density is 3.56 g/cm³. For the formation energy (no corrections), the calculation gives -1212 meV per atom.



Entry 9:
Below is a relaxed structure of LaAuCl2, with properties calculated at the PBE level.

Cell lengths 5.3654, 5.3654, 5.3654 Å; angles 128.21, 128.21, 76.28 degrees
Closest atoms and distances in Å follow each position.
Atoms (fractional coordinates):
1 La 0.2500 0.7500 0.5000  8 Cl 3.15, 4 Au 3.31
2 Cl 0.0000 0.0000 0.0000  4 La 3.15, 4 Au 3.15, 4 Cl 3.31
3 Au 0.7500 0.2500 0.5000  8 Cl 3.15, 4 La 3.31
4 Cl 0.5000 0.5000 0.0000  4 Au 3.15, 4 La 3.15, 4 Cl 3.31

The mass density is 7.29 g/cm³. For the formation energy (no corrections), the calculation gives -1372 meV per atom. As for the energy relative to the lowest polymorph listed for this composition: 0.171 eV/atom.



Entry 10:
Below is a relaxed structure of LaAuCl2, with properties calculated at the PBE level.

Cell lengths 3.9985, 4.3484, 7.6977 Å; angles 73.70, 90.00, 90.00 degrees
Closest atoms and distances in Å follow each position.
Atoms (fractional coordinates):
1 Cl 0.0000 0.1014 0.9190  1 La 2.65
2 Au 0.5000 0.7017 0.7239  4 La 3.19, 4 Cl 3.28-3.30
3 La 0.0000 0.2836 0.5600  3 Cl 2.65-2.79
4 Cl 0.5000 0.4133 0.2972  2 La 2.79

The mass density is 5.26 g/cm³. For the formation energy (no corrections), the calculation gives -1448 meV per atom. As for the energy relative to the lowest polymorph listed for this composition: 0.095 eV/atom.



Entry 11:
Below is a relaxed structure of La3NiAuCl, with properties calculated at the PBE level.

Cell lengths 3.9939, 8.0217, 11.3363 Å; angles 112.51, 90.00, 90.00 degrees
Closest atoms and distances in Å follow each position.
Atoms (fractional coordinates):
1 La 0.2500 0.1370 0.8955  3 Ni 2.94-3.28, 1 Cl 3.15, 2 Au 3.20
2 Ni 0.7500 0.4254 0.9445  2 Ni 2.42
3 Cl 0.2500 0.1456 0.6203  5 La 2.97-3.15
4 Cl 0.7500 0.8544 0.3797  5 La 2.97-3.15
5 Au 0.7500 0.8058 0.7649  6 La 3.08-3.20
6 La 0.7500 0.8630 0.1045  3 Ni 2.94-3.28, 1 Cl 3.15, 2 Au 3.20
7 La 0.7500 0.2695 0.4662  3 Cl 3.06-3.09, 2 Au 3.16
8 La 0.7500 0.4680 0.2057  3 Ni 2.85-2.96, 1 Cl 2.97, 2 Au 3.08
9 La 0.2500 0.7305 0.5338  3 Cl 3.06-3.09, 2 Au 3.16
10 Ni 0.2500 0.5746 0.0555  2 Ni 2.42
11 Au 0.2500 0.1942 0.2351  6 La 3.08-3.20
12 La 0.2500 0.5320 0.7943  3 Ni 2.85-2.96, 1 Cl 2.97, 2 Au 3.08

The mass density is 7.01 g/cm³. The value obtained for the density of states at the Fermi level is 11.371 states/eV per cell. For the formation energy (no corrections), the calculation gives -843 meV per atom.



Entry 12:
Below is a relaxed structure of La2NiAuCl, with properties calculated at the PBE level.

Cell lengths 5.4909, 4.1525, 5.4909 Å; angles 90.00, 90.00, 90.00 degrees
Closest atoms and distances in Å follow each position.
Atoms (fractional coordinates):
1 La 0.5000 0.0000 0.0000  2 Cl 2.75
2 Ni 0.0000 0.5000 0.0000  2 Cl 2.08
3 Au 0.5000 0.5000 0.5000  8 La 3.44
4 La 0.0000 0.0000 0.5000  2 Cl 2.75
5 Cl 0.0000 0.0000 0.0000  2 Ni 2.08

The mass density is 7.55 g/cm³. The value obtained for the density of states at the Fermi level is 3.532 states/eV per cell. For the formation energy (no corrections), the calculation gives -547 meV per atom.